Compound: AsPN3
Source: Alexandria
Functional: GGA-PBEsol
Structure: optimized geometry

Values from the calculation:
Its spin magnetization is 0.0 μB/cell. The value obtained for the uncorrected formation energy is 1.572 eV per atom. The space-group type is Pm-3m (221). As for the raw total energy: -28.62 eV for the cell shown.

Lattice parameters (Å, degrees): 3.7017 3.7017 3.7017 90.00 90.00 90.00
With the nearest neighbours (Å) after each atom.
Positions (direct):
As1 0.0000 0.0000 0.0000  6 N 1.85
P1 0.5000 0.5000 0.5000  12 N 2.62
N1 0.0000 0.0000 0.5000  2 As 1.85
N2 0.0000 0.5000 0.0000  2 As 1.85
N3 0.5000 0.0000 0.0000  2 As 1.85



Compound: MgSc2In
Source: Alexandria
Functional: GGA-PBEsol
Structure: optimized geometry

Values from the calculation:
Its spin magnetization is 0.2 μB/cell. The value obtained for the energy above the most stable polymorph in this dataset is 4 meV per atom. The space-group type is P4/mmm (123). As for the raw total energy: -19.22 eV for the cell shown.

Lattice parameters (Å, degrees): 4.5642 4.5642 4.1841 90.00 90.00 90.00
With the nearest neighbours (Å) after each atom.
Positions (direct):
Mg1 0.0000 0.0000 0.0000  8 Sc 3.10, 4 In 3.23
Sc1 0.0000 0.5000 0.5000  4 In 3.10, 4 Mg 3.10, 4 Sc 3.23
Sc2 0.5000 0.0000 0.5000  4 In 3.10, 4 Mg 3.10, 4 Sc 3.23
In1 0.5000 0.5000 0.0000  8 Sc 3.10, 4 Mg 3.23



Compound: KCuIr2
Source: Alexandria
Functional: GGA-PBEsol
Structure: optimized geometry

Values from the calculation:
Its spin magnetization is 0.0 μB/cell. The space-group type is F-43m (216). As for the raw total energy: -20.59 eV for the cell shown.

Lattice parameters (Å, degrees): 4.4846 4.4846 4.4846 60.00 60.00 60.00
With the nearest neighbours (Å) after each atom.
Positions (direct):
K1 0.0000 0.0000 0.0000  4 Cu 2.75, 4 Ir 2.75
Cu1 0.7500 0.7500 0.7500  4 Ir 2.75, 4 K 2.75
Ir1 0.2500 0.2500 0.2500  4 Ir 2.75, 4 K 2.75
Ir2 0.5000 0.5000 0.5000  4 Cu 2.75, 4 Ir 2.75



Compound: TbBi3
Source: Alexandria
Functional: GGA-PBEsol
Structure: optimized geometry

Values from the calculation:
Its spin magnetization is 0.0 μB/cell. The space-group type is P6_3/mmc (194). As for the raw total energy: -38.93 eV for the cell shown.

Lattice parameters (Å, degrees): 6.7297 6.7297 5.9258 90.00 90.00 120.00
With the nearest neighbours (Å) after each atom.
Positions (direct):
Tb1 0.3333 0.6667 0.2500  12 Bi 3.37-3.51
Tb2 0.6667 0.3333 0.7500  12 Bi 3.37-3.51
Bi1 0.1721 0.3441 0.7500  8 Bi 3.26-3.58, 4 Tb 3.37-3.51
Bi2 0.1721 0.8279 0.7500  8 Bi 3.26-3.58, 4 Tb 3.37-3.51
Bi3 0.3441 0.1721 0.2500  8 Bi 3.26-3.58, 4 Tb 3.37-3.51
Bi4 0.6559 0.8279 0.7500  8 Bi 3.26-3.58, 4 Tb 3.37-3.51
Bi5 0.8279 0.1721 0.2500  8 Bi 3.26-3.58, 4 Tb 3.37-3.51
Bi6 0.8279 0.6559 0.2500  8 Bi 3.26-3.58, 4 Tb 3.37-3.51